MgCu2P: optimized geometry, GGA-PBE.

Computed properties:
The formation energy comes out at 0.00 eV/atom. The total energy is -15.18 eV for the cell shown. As for the density of states at the Fermi level: 2.13 states/eV/cell. The symmetry is Cmmm. The value obtained for the calculated density is 5.310 g cm⁻³.

abc: 3.3036 3.3036 5.2256
angles: 90.00 90.00 90.10
Fractional positions:
Mg  0.0000  0.0000  0.0000
Cu  0.5000  0.5000  0.2642
Cu  0.5000  0.5000  0.7358
P  0.0000  0.0000  0.5000